1.
LaNdB4 | PBE | relaxed

Computed properties:
The calculation puts the energy above the lowest structure with this stoichiometry at 8.9 meV/atom. Its symmetry is Immm.

Unit cell a=3.3257 b=5.7520 c=8.4381 alpha=90.00 beta=90.00 gamma=90.00
With the nearest neighbours (Å) after each atom.
Fractional positions:
1 La 0.0000 0.0000 0.0000  12 B 2.85
2 La 0.5000 0.5000 0.5000  12 B 2.85
3 Nd 0.0000 0.0000 0.5000  12 B 2.85
4 Nd 0.5000 0.5000 0.0000  12 B 2.85
5 B 0.0000 0.3337 0.2498  3 B 1.91-1.92
6 B 0.0000 0.3337 0.7502  3 B 1.91-1.92
7 B 0.0000 0.6663 0.2498  3 B 1.91-1.92
8 B 0.0000 0.6663 0.7502  3 B 1.91-1.92
9 B 0.5000 0.1663 0.2502  3 B 1.91-1.92
10 B 0.5000 0.1663 0.7498  3 B 1.91-1.92
11 B 0.5000 0.8337 0.2502  3 B 1.91-1.92
12 B 0.5000 0.8337 0.7498  3 B 1.91-1.92

=====

2.
LaNdB | PBE | relaxed

Computed properties:
The calculation puts the energy above the lowest structure with this stoichiometry at 0.0 meV/atom. Its symmetry is F-43m.

Unit cell a=6.6663 b=6.6663 c=6.6663 alpha=90.00 beta=90.00 gamma=90.00
With the nearest neighbours (Å) after each atom.
Fractional positions:
1 La 0.0000 0.0000 0.0000  4 B 2.89
2 La 0.0000 0.5000 0.5000  4 B 2.89
3 La 0.5000 0.0000 0.5000  4 B 2.89
4 La 0.5000 0.5000 0.0000  4 B 2.89
5 Nd 0.0000 0.0000 0.5000  4 B 2.89
6 Nd 0.0000 0.5000 0.0000  4 B 2.89
7 Nd 0.5000 0.0000 0.0000  4 B 2.89
8 Nd 0.5000 0.5000 0.5000  4 B 2.89
9 B 0.2500 0.2500 0.2500  4 La 2.89, 4 Nd 2.89
10 B 0.2500 0.7500 0.7500  4 La 2.89, 4 Nd 2.89
11 B 0.7500 0.2500 0.7500  4 La 2.89, 4 Nd 2.89
12 B 0.7500 0.7500 0.2500  4 La 2.89, 4 Nd 2.89

=====

3.
LaNdB2Pd2Pt6 | PBE | relaxed

Computed properties:
The calculation puts the energy above the lowest structure with this stoichiometry at 22.0 meV/atom. Its symmetry is P6/mmm.

Unit cell a=5.5111 b=5.5111 c=7.7131 alpha=90.00 beta=90.00 gamma=120.00
With the nearest neighbours (Å) after each atom.
Fractional positions:
1 La 0.0000 0.0000 0.0000  12 Pt 3.15, 6 B 3.18
2 Nd 0.0000 0.0000 0.5000  6 Pd 3.18
3 B 0.3333 0.6667 0.0000  6 Pt 2.21
4 B 0.6667 0.3333 0.0000  6 Pt 2.21
5 Pd 0.3333 0.6667 0.5000  6 Pt 2.81
6 Pd 0.6667 0.3333 0.5000  6 Pt 2.81
7 Pt 0.0000 0.5000 0.1991  2 B 2.21
8 Pt 0.0000 0.5000 0.8009  2 B 2.21
9 Pt 0.5000 0.0000 0.1991  2 B 2.21
10 Pt 0.5000 0.0000 0.8009  2 B 2.21
11 Pt 0.5000 0.5000 0.1991  2 B 2.21
12 Pt 0.5000 0.5000 0.8009  2 B 2.21

=====

4.
LaNdB2Pd2Pt6 | PBE | relaxed

Computed properties:
The calculation puts the energy above the lowest structure with this stoichiometry at 0.0 meV/atom. Its symmetry is P6/mmm.

Unit cell a=5.5056 b=5.5056 c=7.7052 alpha=90.00 beta=90.00 gamma=120.00
With the nearest neighbours (Å) after each atom.
Fractional positions:
1 La 0.0000 0.0000 0.0000  6 Pd 3.18
2 Nd 0.0000 0.0000 0.5000  12 Pt 3.15, 6 B 3.18
3 B 0.3333 0.6667 0.5000  6 Pt 2.21
4 B 0.6667 0.3333 0.5000  6 Pt 2.21
5 Pd 0.3333 0.6667 0.0000  6 Pt 2.81
6 Pd 0.6667 0.3333 0.0000  6 Pt 2.81
7 Pt 0.0000 0.5000 0.3012  2 B 2.21
8 Pt 0.0000 0.5000 0.6988  2 B 2.21
9 Pt 0.5000 0.0000 0.3012  2 B 2.21
10 Pt 0.5000 0.0000 0.6988  2 B 2.21
11 Pt 0.5000 0.5000 0.3012  2 B 2.21
12 Pt 0.5000 0.5000 0.6988  2 B 2.21

=====

5.
LaNi12B6 | PBE | relaxed

Computed properties:
Its symmetry is Cmc2_1.

Unit cell a=6.0778 b=6.0778 c=11.1060 alpha=90.00 beta=90.00 gamma=75.31
With the nearest neighbours (Å) after each atom.
Fractional positions:
1 La 0.1678 0.8322 0.5000  6 B 3.08-3.31, 18 Ni 3.09-3.40
2 La 0.8322 0.1678 0.0000  6 B 3.08-3.31, 18 Ni 3.09-3.40
3 Ni 0.0062 0.6306 0.0622  4 B 2.04-2.14
4 Ni 0.1201 0.1464 0.2437  3 B 2.03-2.12
5 Ni 0.1464 0.1201 0.7437  3 B 2.03-2.12
6 Ni 0.1951 0.5398 0.2643  4 B 2.01-2.10
7 Ni 0.2102 0.5244 0.7248  3 B 2.06-2.15
8 Ni 0.2234 0.7766 0.8992  3 B 2.01-2.06
9 Ni 0.2751 0.3432 0.9325  4 B 2.03-2.12
10 Ni 0.3432 0.2751 0.4325  4 B 2.03-2.12
11 Ni 0.3694 0.9938 0.0622  4 B 2.04-2.14
12 Ni 0.4302 0.5698 0.0835  3 B 2.10-2.18
13 Ni 0.4602 0.8049 0.2643  4 B 2.01-2.10
14 Ni 0.4756 0.7898 0.7248  3 B 2.06-2.15
15 Ni 0.5244 0.2102 0.2248  3 B 2.06-2.15
16 Ni 0.5398 0.1951 0.7643  4 B 2.01-2.10
17 Ni 0.5698 0.4302 0.5835  3 B 2.10-2.18
18 Ni 0.6306 0.0062 0.5622  4 B 2.04-2.14
19 Ni 0.6568 0.7249 0.9325  4 B 2.03-2.12
20 Ni 0.7249 0.6568 0.4325  4 B 2.03-2.12
21 Ni 0.7766 0.2234 0.3992  3 B 2.01-2.06
22 Ni 0.7898 0.4756 0.2248  3 B 2.06-2.15
23 Ni 0.8049 0.4602 0.7643  4 B 2.01-2.10
24 Ni 0.8536 0.8799 0.2437  3 B 2.03-2.12
25 Ni 0.8799 0.8536 0.7437  3 B 2.03-2.12
26 Ni 0.9938 0.3694 0.5622  4 B 2.04-2.14
27 B 0.0132 0.3986 0.3776  7 Ni 2.01-2.15
28 B 0.1644 0.8356 0.1665  7 Ni 2.03-2.18
29 B 0.2479 0.3241 0.1138  7 Ni 2.03-2.14
30 B 0.3241 0.2479 0.6138  7 Ni 2.03-2.14
31 B 0.3986 0.0132 0.8776  7 Ni 2.01-2.15
32 B 0.4859 0.5141 0.8384  7 Ni 2.06-2.12
33 B 0.5141 0.4859 0.3384  7 Ni 2.06-2.12
34 B 0.6014 0.9868 0.3776  7 Ni 2.01-2.15
35 B 0.6759 0.7521 0.1138  7 Ni 2.03-2.14
36 B 0.7521 0.6759 0.6138  7 Ni 2.03-2.14
37 B 0.8356 0.1644 0.6665  7 Ni 2.03-2.18
38 B 0.9868 0.6014 0.8776  7 Ni 2.01-2.15

=====

6.
LaNi2B | PBE | relaxed

Computed properties:
Its symmetry is Amm2.

Unit cell a=3.0049 b=3.0351 c=12.8345 alpha=90.00 beta=90.00 gamma=90.00
With the nearest neighbours (Å) after each atom.
Fractional positions:
1 La 0.0000 0.0000 0.0000  2 B 2.91, 6 Ni 2.93-3.19, 4 La 3.00-3.04
2 La 0.0000 0.5000 0.5000  2 B 2.91, 6 Ni 2.93-3.19, 4 La 3.00-3.04
3 Ni 0.0000 0.0000 0.7188  4 B 2.16
4 Ni 0.0000 0.5000 0.2188  4 B 2.16
5 Ni 0.5000 0.0000 0.3438  1 B 1.92
6 Ni 0.5000 0.5000 0.8438  1 B 1.92
7 B 0.5000 0.0000 0.1945  1 Ni 1.92
8 B 0.5000 0.5000 0.6944  1 Ni 1.92

=====

7.
LaNi3BPd | PBE | relaxed

Computed properties:
Its symmetry is P6/mmm.

Unit cell a=5.1953 b=5.1953 c=7.2501 alpha=90.00 beta=90.00 gamma=120.00
With the nearest neighbours (Å) after each atom.
Fractional positions:
1 La 0.0000 0.0000 0.0000  12 Ni 2.95, 6 B 3.00
2 La 0.0000 0.0000 0.5000  6 Pd 3.00
3 Ni 0.0000 0.5000 0.1924  2 B 2.05
4 Ni 0.0000 0.5000 0.8076  2 B 2.05
5 Ni 0.5000 0.0000 0.1924  2 B 2.05
6 Ni 0.5000 0.0000 0.8076  2 B 2.05
7 Ni 0.5000 0.5000 0.1924  2 B 2.05
8 Ni 0.5000 0.5000 0.8076  2 B 2.05
9 B 0.3333 0.6667 0.0000  6 Ni 2.05
10 B 0.6667 0.3333 0.0000  6 Ni 2.05
11 Pd 0.3333 0.6667 0.5000  6 Ni 2.69, 3 La 3.00, 3 Pd 3.00
12 Pd 0.6667 0.3333 0.5000  6 Ni 2.69, 3 La 3.00, 3 Pd 3.00

=====

8.
LaPrNi6B2Pd2 | PBE | relaxed

Computed properties:
The calculation puts the energy above the lowest structure with this stoichiometry at 0.0 meV/atom. Its symmetry is P6/mmm.

Unit cell a=5.1943 b=5.1943 c=7.2393 alpha=90.00 beta=90.00 gamma=120.00
With the nearest neighbours (Å) after each atom.
Fractional positions:
1 La 0.0000 0.0000 0.0000  6 Pd 3.00
2 Pr 0.0000 0.0000 0.5000  12 Ni 2.95, 6 B 3.00
3 Ni 0.0000 0.5000 0.3071  2 B 2.05
4 Ni 0.0000 0.5000 0.6929  2 B 2.05
5 Ni 0.5000 0.0000 0.3071  2 B 2.05
6 Ni 0.5000 0.0000 0.6929  2 B 2.05
7 Ni 0.5000 0.5000 0.3071  2 B 2.05
8 Ni 0.5000 0.5000 0.6929  2 B 2.05
9 B 0.3333 0.6667 0.5000  6 Ni 2.05
10 B 0.6667 0.3333 0.5000  6 Ni 2.05
11 Pd 0.3333 0.6667 0.0000  6 Ni 2.68, 3 La 3.00, 3 Pd 3.00
12 Pd 0.6667 0.3333 0.0000  6 Ni 2.68, 3 La 3.00, 3 Pd 3.00

=====

9.
LaPrNi2B2Pd6 | PBE | relaxed

Computed properties:
The calculation puts the energy above the lowest structure with this stoichiometry at 0.0 meV/atom. Its symmetry is P6/mmm.

Unit cell a=5.4776 b=5.4776 c=7.3931 alpha=90.00 beta=90.00 gamma=120.00
With the nearest neighbours (Å) after each atom.
Fractional positions:
1 La 0.0000 0.0000 0.0000  6 Ni 3.16, 12 Pd 3.49
2 Pr 0.0000 0.0000 0.5000  12 Pd 3.14, 6 B 3.16
3 Ni 0.3333 0.6667 0.0000  6 Pd 2.68
4 Ni 0.6667 0.3333 0.0000  6 Pd 2.68
5 B 0.3333 0.6667 0.5000  6 Pd 2.20
6 B 0.6667 0.3333 0.5000  6 Pd 2.20
7 Pd 0.0000 0.5000 0.2928  2 B 2.20
8 Pd 0.0000 0.5000 0.7072  2 B 2.20
9 Pd 0.5000 0.0000 0.2928  2 B 2.20
10 Pd 0.5000 0.0000 0.7072  2 B 2.20
11 Pd 0.5000 0.5000 0.2928  2 B 2.20
12 Pd 0.5000 0.5000 0.7072  2 B 2.20

=====

10.
LaPrNi6B2Pd2 | PBE | relaxed

Computed properties:
The calculation puts the energy above the lowest structure with this stoichiometry at 6.0 meV/atom. Its symmetry is P6/mmm.

Unit cell a=5.1951 b=5.1951 c=7.2307 alpha=90.00 beta=90.00 gamma=120.00
With the nearest neighbours (Å) after each atom.
Fractional positions:
1 La 0.0000 0.0000 0.0000  12 Ni 2.95, 6 B 3.00
2 Pr 0.0000 0.0000 0.5000  6 Pd 3.00
3 Ni 0.0000 0.5000 0.1933  2 B 2.05
4 Ni 0.0000 0.5000 0.8067  2 B 2.05
5 Ni 0.5000 0.0000 0.1933  2 B 2.05
6 Ni 0.5000 0.0000 0.8067  2 B 2.05
7 Ni 0.5000 0.5000 0.1933  2 B 2.05
8 Ni 0.5000 0.5000 0.8067  2 B 2.05
9 B 0.3333 0.6667 0.0000  6 Ni 2.05
10 B 0.6667 0.3333 0.0000  6 Ni 2.05
11 Pd 0.3333 0.6667 0.5000  6 Ni 2.68
12 Pd 0.6667 0.3333 0.5000  6 Ni 2.68

=====

11.
LaPrNi2B2Pd6 | PBE | relaxed

Computed properties:
The calculation puts the energy above the lowest structure with this stoichiometry at 8.4 meV/atom. Its symmetry is P6/mmm.

Unit cell a=5.4781 b=5.4781 c=7.3935 alpha=90.00 beta=90.00 gamma=120.00
With the nearest neighbours (Å) after each atom.
Fractional positions:
1 La 0.0000 0.0000 0.0000  12 Pd 3.14, 6 B 3.16
2 Pr 0.0000 0.0000 0.5000  6 Ni 3.16, 12 Pd 3.49
3 Ni 0.3333 0.6667 0.5000  6 Pd 2.67
4 Ni 0.6667 0.3333 0.5000  6 Pd 2.67
5 B 0.3333 0.6667 0.0000  6 Pd 2.21
6 B 0.6667 0.3333 0.0000  6 Pd 2.21
7 Pd 0.0000 0.5000 0.2082  2 B 2.21
8 Pd 0.0000 0.5000 0.7918  2 B 2.21
9 Pd 0.5000 0.0000 0.2082  2 B 2.21
10 Pd 0.5000 0.0000 0.7918  2 B 2.21
11 Pd 0.5000 0.5000 0.2082  2 B 2.21
12 Pd 0.5000 0.5000 0.7918  2 B 2.21

=====

12.
LaNiBPt3 | PBE | relaxed

Computed properties:
Its symmetry is P6/mmm.

Unit cell a=5.4924 b=5.4924 c=7.3980 alpha=90.00 beta=90.00 gamma=120.00
With the nearest neighbours (Å) after each atom.
Fractional positions:
1 La 0.0000 0.0000 0.0000  6 Ni 3.17, 12 Pt 3.48
2 La 0.0000 0.0000 0.5000  12 Pt 3.16, 6 B 3.17
3 Ni 0.3333 0.6667 0.0000  6 Pt 2.66
4 Ni 0.6667 0.3333 0.0000  6 Pt 2.66
5 B 0.3333 0.6667 0.5000  6 Pt 2.23
6 B 0.6667 0.3333 0.5000  6 Pt 2.23
7 Pt 0.0000 0.5000 0.2881  2 B 2.23
8 Pt 0.0000 0.5000 0.7119  2 B 2.23
9 Pt 0.5000 0.0000 0.2881  2 B 2.23
10 Pt 0.5000 0.0000 0.7119  2 B 2.23
11 Pt 0.5000 0.5000 0.2881  2 B 2.23
12 Pt 0.5000 0.5000 0.7119  2 B 2.23

=====

no.,raw total energy (eV per atom)
1,-6.318
2,-5.285
3,-6.599
4,-6.621
5,-6.288
6,-5.579
7,-6.107
8,-6.085
9,-5.956
10,-6.079
11,-5.947
12,-6.618